Entry 1:
Gd2YAl3Si2Pt PBE optimized geometry; space-group type = Amm2, No. 38
1.0
4.238 0.000 0.000
0.000 6.024 3.477
0.000 -6.024 3.477
Gd Y Al Si Pt
2 1 3 2 1
Cartesian
0.000 -3.511 3.477
0.000 3.511 3.477
0.000 0.000 4.354
2.119 -1.421 2.276
2.119 1.421 2.276
2.119 0.000 6.762
2.119 -1.998 4.927
2.119 1.998 4.927
0.000 0.000 1.461

Entry 2:
DyTmW PBE optimized geometry; space-group type = F-43m, No. 216; energy relative to the elements = 1400 meV/atom; relative energy among the computed polymorphs = 0.00 eV per formula unit
1.0
0.000 3.441 3.441
3.441 0.000 3.441
3.441 3.441 0.000
Dy Tm W
1 1 1
Cartesian
0.000 0.000 0.000
1.720 1.720 1.720
3.441 3.441 3.441

Entry 3:
CsBi5Pd3 PBE optimized geometry; space-group type = P6/mmm, No. 191
1.0
5.864 0.000 0.000
-2.932 5.079 0.000
0.000 0.000 9.041
Cs Bi Pd
1 5 3
Cartesian
0.000 0.000 0.000
0.000 0.000 4.521
0.000 3.386 2.231
0.000 3.386 6.811
2.932 1.693 2.231
2.932 1.693 6.811
-1.466 2.539 4.521
2.932 0.000 4.521
1.466 2.539 4.521

Entry 4:
W2S PBE optimized geometry; space-group type = Fd-3m, No. 227; relative energy among the computed polymorphs = 6.00 eV per formula unit
1.0
0.000 5.049 5.049
5.049 0.000 5.049
5.049 5.049 0.000
W S
4 2
Cartesian
0.000 0.000 0.000
2.525 2.525 0.000
2.525 0.000 2.525
0.000 2.525 2.525
1.262 1.262 1.262
8.836 8.836 8.836

Entry 5:
YZrS2Br2 PBE optimized geometry; space-group type = Pmm2, No. 25
1.0
3.861 0.000 0.000
0.000 5.274 0.000
0.000 0.000 8.795
Y Zr S Br
1 1 2 2
Cartesian
0.000 0.000 0.000
1.931 2.637 1.981
0.000 2.637 0.233
1.931 0.000 1.965
0.000 2.637 3.936
1.931 0.000 6.753

Entry 6:
AsIrPdO PBE optimized geometry; space-group type = Pmc2_1, No. 26; relative energy among the computed polymorphs = 0.00 eV per formula unit
1.0
3.792 0.000 0.000
0.000 6.224 0.000
0.000 0.000 5.401
As Ir Pd O
2 2 2 2
Cartesian
0.000 1.394 0.000
0.000 4.830 2.700
0.000 2.370 3.101
0.000 3.854 0.401
1.896 0.112 2.829
1.896 6.111 0.129
1.896 2.348 2.930
1.896 3.876 0.230

Entry 7:
Y3Mg3TlCuAg PBE optimized geometry; space-group type = P-6, No. 174
1.0
7.684 0.000 0.000
-3.842 6.655 0.000
0.000 0.000 4.172
Y Mg Tl Cu Ag
3 3 1 1 1
Cartesian
-2.225 4.868 0.000
0.738 2.294 0.000
1.487 6.147 0.000
2.953 0.633 2.086
2.913 3.781 2.086
5.660 2.241 2.086
0.000 0.000 2.086
3.842 2.218 0.000
0.000 4.436 2.086

Entry 8:
KHoGeSe4 PBE optimized geometry; space-group type = P2_1, No. 4
1.0
6.791 0.000 0.000
0.000 7.027 0.000
-2.778 0.000 8.673
K Ho Ge Se
2 2 2 8
Cartesian
0.460 0.000 3.799
3.553 3.514 4.874
-0.808 0.072 8.231
4.822 3.586 0.442
1.409 3.332 1.492
2.604 6.846 7.180
-2.163 2.793 7.989
-0.460 3.307 2.920
0.970 5.150 6.774
2.778 5.273 1.752
1.236 1.759 6.920
3.043 1.637 1.899
4.473 6.821 5.753
6.176 6.306 0.683

Entry 9:
Sc2CdInAg2Au2 PBE optimized geometry; space-group type = P-4m2, No. 115
1.0
4.789 0.000 0.000
0.000 4.789 0.000
0.000 0.000 6.777
Sc Cd In Ag Au
2 1 1 2 2
Cartesian
0.000 0.000 0.000
2.394 2.394 3.388
0.000 0.000 3.388
2.394 2.394 0.000
0.000 2.394 1.696
2.394 0.000 5.081
0.000 2.394 5.082
2.394 0.000 1.695

Entry 10:
Y2Er6Te PBE optimized geometry; space-group type = P-62m, No. 189
1.0
9.178 0.000 0.000
-4.589 7.948 0.000
0.000 0.000 3.758
Y Er Te
2 6 1
Cartesian
0.000 5.299 0.000
4.589 2.649 0.000
-1.262 2.187 0.000
-2.826 4.895 1.879
2.525 0.000 0.000
1.763 3.054 1.879
5.652 0.000 1.879
3.327 5.762 0.000
0.000 0.000 1.879

Entry 11:
ZrCoNiAs PBE optimized geometry; space-group type = F-43m, No. 216; relative energy among the computed polymorphs = 0.37 eV per formula unit
1.0
0.000 3.063 3.063
3.063 0.000 3.063
3.063 3.063 0.000
Zr Co Ni As
1 1 1 1
Cartesian
0.000 0.000 0.000
3.063 3.063 3.063
4.595 4.595 4.595
1.532 1.532 1.532

Entry 12:
Fe7Au6 PBE optimized geometry; space-group type = P6_3/mmc, No. 194; energy relative to the elements = 124 meV/atom
1.0
4.917 0.000 0.000
-2.458 4.258 0.000
0.000 0.000 18.106
Fe Au
14 12
Cartesian
0.000 0.000 0.000
0.000 0.000 9.053
0.000 1.414 2.043
0.000 1.414 7.010
-1.234 3.551 2.043
-1.234 3.551 7.010
1.225 0.707 11.097
1.225 0.707 16.063
1.234 3.551 2.043
1.234 3.551 7.010
3.692 0.707 11.097
3.692 0.707 16.063
2.458 2.844 11.097
2.458 2.844 16.063
0.000 0.000 4.527
0.000 0.000 13.580
0.000 2.839 4.527
0.000 2.839 9.428
0.000 2.839 12.238
0.000 2.839 14.922
0.000 2.839 17.732
2.458 1.419 0.375
2.458 1.419 3.185
2.458 1.419 5.868
2.458 1.419 8.678
2.458 1.419 13.580

Number 1: final energy -0.211 hartree per atom, density 6.881 Mg/m³. Number 2: final energy -0.219 hartree per atom, density 10.501 Mg/m³. Number 3: final energy -0.160 hartree per atom, density 9.232 Mg/m³. Number 4: final energy -0.247 hartree per atom, density 5.156 Mg/m³. Number 5: final energy -0.225 hartree per atom, density 3.746 Mg/m³. Number 6: final energy -0.225 hartree per atom, density 10.150 Mg/m³. Number 7: final energy -0.145 hartree per atom, density 5.569 Mg/m³. Number 8: final energy -0.168 hartree per atom, density 4.755 Mg/m³. Number 9: final energy -0.148 hartree per atom, density 9.903 Mg/m³. Number 10: final energy -0.188 hartree per atom, density 7.928 Mg/m³. Number 11: final energy -0.246 hartree per atom, density 8.195 Mg/m³. Number 12: final energy -0.215 hartree per atom, density 13.779 Mg/m³.